Density functional theory data (PBE) for RbCo2Te3 after structural relaxation.

Cell lengths 9.2524, 3.8532, 9.9825 Å; angles 90.00, 115.10, 90.00 degrees
Last column: nearest neighbours and their distance in Å.
Fractional positions:
1 Rb 0.9778 0.2500 0.7360  7 Te 3.64-3.80, 2 Rb 3.85
2 Rb 0.0222 0.7500 0.2640  7 Te 3.64-3.80, 2 Rb 3.85
3 Te 0.6693 0.7500 0.4424  4 Co 2.50-2.61
4 Te 0.6439 0.2500 0.1256  3 Co 2.59-2.60
5 Te 0.7235 0.7500 0.8599  3 Co 2.47-2.62
6 Te 0.2765 0.2500 0.1401  3 Co 2.47-2.62
7 Te 0.3561 0.7500 0.8744  3 Co 2.59-2.60
8 Te 0.3307 0.2500 0.5576  4 Co 2.50-2.61
9 Co 0.4765 0.7500 0.1617  6 Te 2.59-2.62
10 Co 0.5180 0.7500 0.6019  4 Te 2.47-2.53, 2 Co 2.72
11 Co 0.4820 0.2500 0.3981  4 Te 2.47-2.53, 2 Co 2.72
12 Co 0.5235 0.2500 0.8383  6 Te 2.59-2.62

## Properties
Its total energy is -4.397 eV/atom. The space group is No. 11.